# 1
ScIr2OsCl: optimized geometry, GGA-PBE.

Output
- E_tot (eV/atom) = -6.417
- D(E_F) (states/eV/f.u.) = 6.4
- total magnetization (μB/cell) = 0.0
- raw formation energy (meV per atom) = 1009.1

Unit cell a=4.472 b=4.472 c=4.364 alpha=90.00 beta=90.00 gamma=90.00
Space group P4/mmm (No. 123)
Asymmetric unit:
1 Sc 0.000 0.000 0.000 x1
2 Ir 0.000 0.500 0.500 x2
3 Os 0.500 0.500 0.000 x1
4 Cl 0.500 0.500 0.500 x1

=====

# 2
LuPaAlHg: optimized geometry, GGA-PBE.

Output
- E_tot (eV/atom) = -4.572
- D(E_F) (states/eV/f.u.) = 6.2
- total magnetization (μB/cell) = 3.7

Unit cell a=7.282 b=7.282 c=7.282 alpha=90.00 beta=90.00 gamma=90.00
Space group F-43m (No. 216)
Asymmetric unit:
1 Lu 0.000 0.000 0.000 x4
2 Pa 0.000 0.000 0.500 x4
3 Al 0.250 0.250 0.250 x4
4 Hg 0.250 0.250 0.750 x4

=====

# 3
SrYZr2: optimized geometry, GGA-PBE.

Output
- E_tot (eV/atom) = -5.899
- D(E_F) (states/eV/f.u.) = 6.6
- total magnetization (μB/cell) = 0.0

Unit cell a=3.391 b=6.046 c=11.722 alpha=90.00 beta=90.00 gamma=90.00
Space group Imm2 (No. 44)
Asymmetric unit:
1 Sr 0.000 0.000 0.000 x2
2 Y 0.000 0.500 0.785 x2
3 Zr 0.000 0.000 0.531 x2
4 Zr 0.000 0.500 0.233 x2